Compound: LiCaTl
Source: Alexandria
Functional: GGA-PBEsol
Structure: relaxed

Unit cell a=4.9691 b=4.9691 c=3.5274 alpha=90.00 beta=90.00 gamma=120.00
With the nearest neighbours (Å) after each atom.
Sites, in units of the cell vectors:
Li 0.0000 0.0000 0.0000  3 Tl 2.87
Ca 0.6667 0.3333 0.5000  6 Li 3.37, 6 Tl 3.37, 2 Ca 3.53
Tl 0.3333 0.6667 0.0000  3 Li 2.87

## Properties
Energy of formation in eV/atom: -0.33
E_tot in eV/atom: -2.573
Fermi-level density of states in states/eV/cell: 2.291

Compound: Al2TlTe2
Source: Alexandria
Functional: GGA-PBEsol
Structure: relaxed

Unit cell a=5.9330 b=5.9330 c=5.9330 alpha=126.40 beta=126.40 gamma=79.23
With the nearest neighbours (Å) after each atom.
Sites, in units of the cell vectors:
Al 0.1426 0.1426 0.0000  1 Al 2.61, 4 Te 2.85
Al 0.8574 0.8574 0.0000  1 Al 2.61, 4 Te 2.85
Tl 0.5000 0.5000 0.0000  2 Al 3.27, 8 Te 3.52
Te 0.2500 0.7500 0.5000  4 Al 2.85
Te 0.7500 0.2500 0.5000  4 Al 2.85

## Properties
Uncorrected formation energy in kJ per mole of atoms: -16
E_tot in eV/atom: -3.740
Fermi-level density of states in states/eV/cell: 0.932

Compound: BaIO2F
Source: Alexandria
Functional: GGA-PBEsol
Structure: relaxed

Unit cell a=4.4275 b=4.4275 c=7.4242 alpha=90.00 beta=90.00 gamma=90.00
With the nearest neighbours (Å) after each atom.
Sites, in units of the cell vectors:
Ba 0.0000 0.0000 0.0000  4 O 2.21
I 0.0000 0.0000 0.5000  4 F 3.13
O 0.0000 0.5000 0.0000  2 Ba 2.21
O 0.5000 0.0000 0.0000  2 Ba 2.21
F 0.5000 0.5000 0.5000  4 I 3.13

## Properties
Uncorrected formation energy in kJ per mole of atoms: -24
E_tot in eV/atom: -3.519
Fermi-level density of states in states/eV/cell: 4.578

Compound: La2AsIr
Source: Alexandria
Functional: GGA-PBEsol
Structure: relaxed

Unit cell a=3.4202 b=3.4202 c=8.4837 alpha=90.00 beta=90.00 gamma=90.00
With the nearest neighbours (Å) after each atom.
Sites, in units of the cell vectors:
La 0.0000 0.0000 0.0000  1 Ir 3.14, 4 As 3.18, 4 La 3.42
La 0.5000 0.5000 0.4036  1 As 3.00, 4 Ir 3.09
As 0.5000 0.5000 0.7568  4 Ir 2.65
Ir 0.0000 0.0000 0.6303  4 As 2.65

## Properties
Energy of formation in eV/atom: -0.29
E_tot in eV/atom: -6.692
Fermi-level density of states in states/eV/cell: 3.209

Compound: Sb4Cl2O5
Source: Alexandria
Functional: GGA-PBEsol
Structure: relaxed

Unit cell a=6.1420 b=5.1398 c=13.5368 alpha=90.00 beta=96.94 gamma=90.00
With the nearest neighbours (Å) after each atom.
Sites, in units of the cell vectors:
Sb 0.1913 0.2224 0.0520  2 O 1.93-2.09
Sb 0.1913 0.2776 0.5520  2 O 1.93-2.09
Sb 0.2112 0.6089 0.2982  3 O 1.99-2.09
Sb 0.2112 0.8911 0.7982  3 O 1.99-2.09
Sb 0.7888 0.1089 0.2018  3 O 1.99-2.09
Sb 0.7888 0.3911 0.7018  3 O 1.99-2.09
Sb 0.8087 0.7224 0.4480  2 O 1.93-2.09
Sb 0.8087 0.7776 0.9480  2 O 1.93-2.09
Cl 0.4953 0.2072 0.3828  2 Sb 2.85-3.15, 1 O 3.07
Cl 0.4953 0.2928 0.8828  2 Sb 2.85-3.15, 1 O 3.07
Cl 0.5047 0.7072 0.1172  2 Sb 2.85-3.15, 1 O 3.07
Cl 0.5047 0.7928 0.6172  2 Sb 2.85-3.15, 1 O 3.07
O 0.0000 0.0000 0.5000  2 Sb 1.93
O 0.0000 0.5000 0.0000  2 Sb 1.93
O 0.0722 0.0096 0.9186  3 Sb 2.02-2.16
O 0.0722 0.4904 0.4186  3 Sb 2.02-2.16
O 0.0774 0.1721 0.7090  2 Sb 1.99-2.09
O 0.0774 0.3279 0.2090  2 Sb 1.99-2.09
O 0.9226 0.6721 0.7910  2 Sb 1.99-2.09
O 0.9226 0.8279 0.2910  2 Sb 1.99-2.09
O 0.9278 0.5096 0.5814  3 Sb 2.02-2.16
O 0.9278 0.9904 0.0814  3 Sb 2.02-2.16

## Properties
Uncorrected formation energy in kJ per mole of atoms: -121
E_tot in eV/atom: -5.665
Fermi-level density of states in states/eV/cell: 0.000

Compound: YTi2NiAs
Source: Alexandria
Functional: GGA-PBEsol
Structure: relaxed

Unit cell a=4.4356 b=4.4356 c=5.1517 alpha=90.00 beta=90.00 gamma=90.00
With the nearest neighbours (Å) after each atom.
Sites, in units of the cell vectors:
Y 0.0000 0.0000 0.0000  2 Ni 2.58
Ti 0.0000 0.5000 0.5000  2 Ni 2.22
Ti 0.5000 0.0000 0.5000  2 Ni 2.22
Ni 0.0000 0.0000 0.5000  4 Ti 2.22
As 0.5000 0.5000 0.0000  4 Y 3.14, 8 Ti 3.40

## Properties
Energy of formation in eV/atom: -0.02
E_tot in eV/atom: -6.964
Fermi-level density of states in states/eV/cell: 4.401

Compound: LiSnP2O7
Source: Alexandria
Functional: GGA-PBEsol
Structure: relaxed

Unit cell a=4.9418 b=8.7127 c=7.2329 alpha=90.00 beta=109.04 gamma=90.00
With the nearest neighbours (Å) after each atom.
Sites, in units of the cell vectors:
Li 0.1851 0.0000 0.1544  4 O 1.94-2.04
Li 0.8149 0.5000 0.8456  4 O 1.94-2.04
Sn 0.2147 0.3505 0.2331  6 O 2.13-2.34
Sn 0.7853 0.8505 0.7669  6 O 2.13-2.34
P 0.1987 0.0582 0.5745  4 O 1.52-1.62
P 0.4100 0.6718 0.0467  4 O 1.53-1.61
P 0.5900 0.1718 0.9533  4 O 1.53-1.61
P 0.8013 0.5582 0.4255  4 O 1.52-1.62
O 0.0768 0.5421 0.3757  1 P 1.52
O 0.1503 0.1276 0.3715  1 P 1.53
O 0.2250 0.8166 0.0140  1 P 1.53
O 0.2323 0.5229 0.0146  1 P 1.54
O 0.3588 0.9050 0.5924  1 P 1.54
O 0.3856 0.1683 0.0730  1 P 1.53
O 0.4018 0.1812 0.7245  2 P 1.61-1.62
O 0.5982 0.6812 0.2755  2 P 1.61-1.62
O 0.6144 0.6683 0.9270  1 P 1.53
O 0.6412 0.4050 0.4076  1 P 1.54
O 0.7677 0.0229 0.9854  1 P 1.54
O 0.7750 0.3166 0.9860  1 P 1.53
O 0.8497 0.6276 0.6285  1 P 1.53
O 0.9232 0.0421 0.6243  1 P 1.52

## Properties
Uncorrected formation energy in kJ per mole of atoms: -197
E_tot in eV/atom: -7.003
Fermi-level density of states in states/eV/cell: 6.136

Compound: Y4TlRh
Source: Alexandria
Functional: GGA-PBEsol
Structure: relaxed

Unit cell a=5.9608 b=5.9608 c=5.9608 alpha=60.00 beta=60.00 gamma=60.00
With the nearest neighbours (Å) after each atom.
Sites, in units of the cell vectors:
Y 0.3758 0.3758 0.3758  6 Y 2.96-3.00
Y 0.3758 0.3758 0.8726  6 Y 2.96-3.00
Y 0.3758 0.8726 0.3758  6 Y 2.96-3.00
Y 0.8726 0.3758 0.3758  6 Y 2.96-3.00
Tl 0.0000 0.0000 0.0000  12 Y 3.50, 4 Rh 3.65
Rh 0.7500 0.7500 0.7500  12 Y 3.49, 4 Tl 3.65

## Properties
Energy of formation in eV/atom: 0.45
E_tot in eV/atom: -5.897
Fermi-level density of states in states/eV/cell: 6.619

Compound: Cd2PtW
Source: Alexandria
Functional: GGA-PBEsol
Structure: relaxed

Unit cell a=4.5925 b=4.5925 c=4.5925 alpha=60.00 beta=60.00 gamma=60.00
With the nearest neighbours (Å) after each atom.
Sites, in units of the cell vectors:
Cd 0.2500 0.2500 0.2500  4 W 2.81, 4 Pt 2.81
Cd 0.7500 0.7500 0.7500  4 W 2.81, 4 Pt 2.81
Pt 0.0000 0.0000 0.0000  8 Cd 2.81
W 0.5000 0.5000 0.5000  8 Cd 2.81

## Properties
Energy of formation in eV/atom: 0.62
E_tot in eV/atom: -5.173
Fermi-level density of states in states/eV/cell: 2.169

Compound: Cr2CdTc
Source: Alexandria
Functional: GGA-PBEsol
Structure: relaxed

Unit cell a=4.6834 b=4.6834 c=4.8647 alpha=98.64 beta=98.64 gamma=33.89
With the nearest neighbours (Å) after each atom.
Sites, in units of the cell vectors:
Cr 0.2442 0.2442 0.1731  2 Cr 2.18
Cr 0.7558 0.7558 0.8269  2 Cr 2.18
Cd 0.0000 0.0000 0.5000  2 Cd 2.73, 4 Tc 2.79, 6 Cr 2.90-2.92
Tc 0.5000 0.5000 0.0000  6 Cr 2.56-2.60, 2 Tc 2.73, 4 Cd 2.79

## Properties
Energy of formation in eV/atom: 0.52
E_tot in eV/atom: -7.721
Fermi-level density of states in states/eV/cell: 4.015

Compound: SrCd2Br
Source: Alexandria
Functional: GGA-PBEsol
Structure: relaxed

Unit cell a=6.8069 b=6.8069 c=6.8069 alpha=143.36 beta=143.36 gamma=52.78
With the nearest neighbours (Å) after each atom.
Sites, in units of the cell vectors:
Sr 0.0000 0.0000 0.0000  4 Br 3.03
Cd 0.2500 0.7500 0.5000  4 Cd 3.03
Cd 0.7500 0.2500 0.5000  4 Cd 3.03
Br 0.5000 0.5000 0.0000  4 Sr 3.03

## Properties
Uncorrected formation energy in kJ per mole of atoms: -65
E_tot in eV/atom: -2.196
Fermi-level density of states in states/eV/cell: 1.459

Compound: Hf2NbC
Source: Alexandria
Functional: GGA-PBEsol
Structure: relaxed

Unit cell a=6.0520 b=6.0520 c=6.0520 alpha=97.51 beta=97.51 gamma=137.61
With the nearest neighbours (Å) after each atom.
Sites, in units of the cell vectors:
Hf 0.3750 0.0051 0.1301  2 C 2.28
Hf 0.7551 0.6250 0.6301  2 C 2.28
Hf 0.8750 0.2449 0.8699  2 C 2.28
Hf 0.9949 0.1250 0.3699  2 C 2.28
Nb 0.2500 0.7500 0.5000  2 C 2.19
Nb 0.5000 0.5000 0.0000  2 C 2.19
C 0.0000 0.0000 0.0000  2 Nb 2.19, 4 Hf 2.28
C 0.7500 0.2500 0.5000  2 Nb 2.19, 4 Hf 2.28

## Properties
Energy of formation in eV/atom: 0.09
E_tot in eV/atom: -10.276
Fermi-level density of states in states/eV/cell: 6.633

Repeat the third record exactly.
Compound: BaIO2F
Source: Alexandria
Functional: GGA-PBEsol
Structure: relaxed

Unit cell a=4.4275 b=4.4275 c=7.4242 alpha=90.00 beta=90.00 gamma=90.00
With the nearest neighbours (Å) after each atom.
Sites, in units of the cell vectors:
Ba 0.0000 0.0000 0.0000  4 O 2.21
I 0.0000 0.0000 0.5000  4 F 3.13
O 0.0000 0.5000 0.0000  2 Ba 2.21
O 0.5000 0.0000 0.0000  2 Ba 2.21
F 0.5000 0.5000 0.5000  4 I 3.13

## Properties
Uncorrected formation energy in kJ per mole of atoms: -24
E_tot in eV/atom: -3.519
Fermi-level density of states in states/eV/cell: 4.578

Please write out number 9 again, unchanged.
Compound: Cd2PtW
Source: Alexandria
Functional: GGA-PBEsol
Structure: relaxed

Unit cell a=4.5925 b=4.5925 c=4.5925 alpha=60.00 beta=60.00 gamma=60.00
With the nearest neighbours (Å) after each atom.
Sites, in units of the cell vectors:
Cd 0.2500 0.2500 0.2500  4 W 2.81, 4 Pt 2.81
Cd 0.7500 0.7500 0.7500  4 W 2.81, 4 Pt 2.81
Pt 0.0000 0.0000 0.0000  8 Cd 2.81
W 0.5000 0.5000 0.5000  8 Cd 2.81

## Properties
Energy of formation in eV/atom: 0.62
E_tot in eV/atom: -5.173
Fermi-level density of states in states/eV/cell: 2.169